Record 1
{
  "formula": "CaSb2Au",
  "functional": "meta-GGA SCAN",
  "state": "single point on PBEsol structure",
  "dos_at_fermi_per_ev_atom": 0.369,
  "magmom_total_mub_per_cell": 0.00,
  "formation_energy_uncorrected_ev_per_atom": -0.523,
  "total_energy_ev_per_cell": -155.4,
  "lattice": [[-0.345, 3.297, 2.668], [-3.060, 1.775, -2.589], [-2.861, -3.472, 3.921]],
  "species": ["Ca", "Au", "Sb", "Sb"],
  "fractional_positions": [[0.500, 0.500, 0.000], [0.500, 0.000, 0.500], [0.000, 0.143, 0.258], [0.000, 0.857, 0.742]]
}



Record 2
{
  "formula": "La2RuCl",
  "functional": "meta-GGA SCAN",
  "state": "single point on PBEsol structure",
  "dos_at_fermi_per_ev_atom": 0.472,
  "e_above_lowest_polymorph_kcal_per_mol_atoms": 1.04,
  "magmom_total_mub_per_cell": 0.00,
  "formation_energy_uncorrected_ev_per_atom": -1.120,
  "total_energy_ev_per_cell": -133.5,
  "lattice": [[-3.299, 0.043, -2.516], [2.137, -2.141, -2.839], [-1.844, -4.934, 2.333]],
  "species": ["Ru", "La", "La", "Cl"],
  "fractional_positions": [[0.000, 0.000, 0.328], [0.500, 0.500, 0.379], [0.000, 0.000, 0.915], [0.500, 0.500, 0.877]]
}



Record 3
{
  "formula": "TiPd3",
  "functional": "meta-GGA SCAN",
  "state": "single point on PBEsol structure",
  "dos_at_fermi_per_ev_atom": 0.228,
  "formation_energy_ev_per_atom": -0.6868,
  "magmom_total_mub_per_cell": 0.00,
  "total_energy_ev_per_cell": -117.1,
  "lattice": [[3.862, 0.000, 0.000], [0.000, 3.862, 0.000], [0.000, 0.000, 3.862]],
  "species": ["Ti", "Pd", "Pd", "Pd"],
  "fractional_positions": [[0.000, 0.000, 0.000], [0.000, 0.500, 0.500], [0.500, 0.500, 0.000], [0.500, 0.000, 0.500]]
}



Record 4
{
  "formula": "BePdN2F",
  "functional": "meta-GGA SCAN",
  "state": "single point on PBEsol structure",
  "dos_at_fermi_per_ev_atom": 0.564,
  "magmom_total_mub_per_cell": 0.00,
  "formation_energy_uncorrected_ev_per_atom": 0.387,
  "total_energy_ev_per_cell": -57.3,
  "lattice": [[3.218, 0.000, 0.000], [0.000, 3.645, 0.000], [0.000, 0.000, 3.645]],
  "species": ["N", "N", "Pd", "Be", "F"],
  "fractional_positions": [[0.000, 0.500, 0.000], [0.000, 0.000, 0.500], [0.500, 0.500, 0.500], [0.000, 0.000, 0.000], [0.500, 0.000, 0.000]]
}



Record 5
{
  "formula": "As3P",
  "functional": "meta-GGA SCAN",
  "state": "single point on PBEsol structure",
  "dos_at_fermi_per_ev_atom": 0.077,
  "formation_energy_ev_per_atom": 0.0662,
  "e_above_lowest_polymorph_kcal_per_mol_atoms": 0.00,
  "magmom_total_mub_per_cell": 0.00,
  "total_energy_ev_per_cell": -141.4,
  "lattice": [[5.353, 0.000, 0.000], [0.000, 5.419, 0.154], [0.000, -0.636, 5.384]],
  "species": ["As", "As", "As", "As", "As", "As", "P", "P"],
  "fractional_positions": [[0.750, 0.234, 0.766], [0.250, 0.766, 0.234], [0.250, 0.718, 0.771], [0.750, 0.771, 0.718], [0.750, 0.282, 0.229], [0.250, 0.229, 0.282], [0.750, 0.724, 0.276], [0.250, 0.276, 0.724]]
}



Record 6
{
  "formula": "Gd3Cd",
  "functional": "meta-GGA SCAN",
  "state": "single point on PBEsol structure",
  "dos_at_fermi_per_ev_atom": 1.252,
  "formation_energy_ev_per_atom": -0.1911,
  "magmom_total_mub_per_cell": 48.76,
  "total_energy_ev_per_cell": -415.3,
  "lattice": [[-5.023, -0.816, 1.932], [2.540, -3.959, 4.933], [-0.694, 6.703, 1.027]],
  "species": ["Gd", "Gd", "Gd", "Gd", "Gd", "Gd", "Cd", "Cd"],
  "fractional_positions": [[0.250, 0.173, 0.345], [0.750, 0.345, 0.173], [0.750, 0.827, 0.173], [0.250, 0.655, 0.827], [0.750, 0.827, 0.655], [0.250, 0.173, 0.827], [0.750, 0.333, 0.667], [0.250, 0.667, 0.333]]
}



Record 7
{
  "formula": "MgCr3I",
  "functional": "meta-GGA SCAN",
  "state": "single point on PBEsol structure",
  "dos_at_fermi_per_ev_atom": 0.690,
  "magmom_total_mub_per_cell": 11.63,
  "formation_energy_uncorrected_ev_per_atom": 1.169,
  "total_energy_ev_per_cell": -91.0,
  "lattice": [[-4.823, -0.767, -0.676], [-0.077, -2.978, 3.929], [-1.020, 3.854, 2.901]],
  "species": ["Cr", "Cr", "Cr", "Mg", "I"],
  "fractional_positions": [[0.500, 0.000, 0.000], [0.000, 0.000, 0.500], [0.000, 0.500, 0.000], [0.500, 0.500, 0.500], [0.000, 0.000, 0.000]]
}



Record 8
{
  "formula": "CaScTe",
  "functional": "meta-GGA SCAN",
  "state": "single point on PBEsol structure",
  "dos_at_fermi_per_ev_atom": 1.120,
  "magmom_total_mub_per_cell": 1.84,
  "formation_energy_uncorrected_ev_per_atom": -0.567,
  "total_energy_ev_per_cell": -62.9,
  "lattice": [[4.927, 0.000, 0.000], [2.463, 4.267, 0.000], [2.463, 1.422, 4.023]],
  "species": ["Sc", "Te", "Ca"],
  "fractional_positions": [[0.500, 0.500, 0.500], [0.250, 0.250, 0.250], [0.000, 0.000, 0.000]]
}